Computed, not measured: an optimized crystal structure of Ac4CuNi3O12 at the PBE+U level of DFT.

a b c (Å): 7.8745 7.8745 7.8745
angles (deg): 90.00 90.00 90.00
Space group Im-3m (No. 229)
Inequivalent atoms, fractional coordinates:
Ac (0.2500, 0.2500, 0.2500) x8
Cu (0.0000, 0.0000, 0.0000) x2
Ni (0.0000, 0.0000, 0.5000) x6
O (0.0000, 0.0000, 0.2491) x12
O (0.0000, 0.2500, 0.5000) x12

V, Å³ per cell: 488.29
E_tot, Ry per atom: -0.476